Version 1
A relaxed structure of SmBeNi. Source: OQMD via LeMat-Bulk, functional PBE-GGA.

The structure belongs to space group F-43m (No. 216); the cell edges are 6.036, 6.036 and 6.036 Å and the angles 90.00°, 90.00° and 90.00°. Symmetry generates all atoms from Sm at (0.000, 0.000, 0.000), Be at (0.250, 0.250, 0.750) and Ni at (0.000, 0.000, 0.500).

For the volume, the calculation gives 18.32 A^3/atom.

Version 2
A relaxed structure of SmBeNi. Source: OQMD via LeMat-Bulk, functional PBE-GGA.

The structure belongs to space group F-43m (No. 216); the cell edges are 6.380, 6.380 and 6.380 Å and the angles 90.00°, 90.00° and 90.00°. Symmetry generates all atoms from Sm at (0.000, 0.000, 0.000), Be at (0.250, 0.250, 0.750) and Ni at (0.250, 0.250, 0.250).

For the volume, the calculation gives 21.64 A^3/atom.

Top of the stability list: version 1, leading by 512 meV per atom.

Version 1
A relaxed structure of BeNiSn. Source: OQMD via LeMat-Bulk, functional PBE-GGA.

The structure belongs to space group F-43m (No. 216); the cell edges are 5.820, 5.820 and 5.820 Å and the angles 90.00°, 90.00° and 90.00°. Symmetry generates all atoms from Be at (0.000, 0.000, 0.000), Ni at (0.000, 0.000, 0.500) and Sn at (0.250, 0.250, 0.250).

For the volume, the calculation gives 16.43 A^3/atom.

Version 2
A relaxed structure of BeNiSn. Source: OQMD via LeMat-Bulk, functional PBE-GGA.

The structure belongs to space group F-43m (No. 216); the cell edges are 5.709, 5.709 and 5.709 Å and the angles 90.00°, 90.00° and 90.00°. Symmetry generates all atoms from Be at (0.000, 0.000, 0.000), Ni at (0.250, 0.250, 0.250) and Sn at (0.000, 0.000, 0.500).

For the volume, the calculation gives 15.51 A^3/atom.

Top of the stability list: version 2, leading by 331 meV per atom.

Version 1
A relaxed structure of TaBeNiSn. Source: OQMD via LeMat-Bulk, functional PBE-GGA.

The structure belongs to space group F-43m (No. 216); the cell edges are 6.167, 6.167 and 6.167 Å and the angles 90.00°, 90.00° and 90.00°. Symmetry generates all atoms from Ta at (0.000, 0.000, 0.000), Be at (0.250, 0.250, 0.250), Ni at (0.250, 0.250, 0.750) and Sn at (0.000, 0.000, 0.500).

For the volume, the calculation gives 14.66 A^3/atom.

Version 2
A relaxed structure of TaBeNiSn. Source: OQMD via LeMat-Bulk, functional PBE-GGA.

The structure belongs to space group F-43m (No. 216); the cell edges are 6.241, 6.241 and 6.241 Å and the angles 90.00°, 90.00° and 90.00°. Symmetry generates all atoms from Ta at (0.000, 0.000, 0.000), Be at (0.250, 0.250, 0.750), Ni at (0.000, 0.000, 0.500) and Sn at (0.250, 0.250, 0.250).

For the volume, the calculation gives 15.19 A^3/atom.

Top of the stability list: version 1, leading by 143 meV per atom.